[1]
This record from Alexandria describes a geometry-optimized AlCd3Fe structure. The functional is GGA-PBE.

Its energy relative to the lowest polymorph listed for this composition is 0 meV per atom. For the raw total energy, the calculation gives -11.52 eV for the cell shown. As for the volume: 129.3 Å³ per cell. The calculated density comes out at 5.4 g/cm³. The calculation puts the energy relative to the elements at 3.43 eV per formula unit.

a = 5.057 Å, b = 5.057 Å, c = 5.057 Å
α = 90.00°, β = 90.00°, γ = 90.00°
Fractional coordinates of all 5 atoms:
1 Al 0.000 0.000 0.000
2 Cd 0.000 0.500 0.500
3 Cd 0.500 0.000 0.500
4 Cd 0.500 0.500 0.000
5 Fe 0.500 0.500 0.500

---

[2]
This record from Alexandria describes a geometry-optimized AlCd2Fe structure. The functional is GGA-PBE.

For the raw total energy, the calculation gives -23.95 eV for the cell shown. As for the volume: 157.3 Å³ per cell. The calculated density comes out at 6.5 g/cm³. The calculation puts the energy relative to the elements at 2.06 eV per formula unit.

a = 6.032 Å, b = 6.032 Å, c = 6.032 Å
α = 101.62°, β = 101.62°, γ = 126.66°
Fractional coordinates of all 8 atoms:
1 Al 0.000 0.000 0.000
2 Al 0.750 0.250 0.500
3 Cd 0.137 0.625 0.012
4 Cd 0.375 0.387 0.512
5 Cd 0.613 0.125 0.988
6 Cd 0.875 0.863 0.488
7 Fe 0.250 0.750 0.500
8 Fe 0.500 0.500 0.000

---

[3]
This record from Alexandria describes a geometry-optimized Al3CdFe structure. The functional is GGA-PBE.

Its energy relative to the lowest polymorph listed for this composition is 0 meV per atom. For the raw total energy, the calculation gives -20.14 eV for the cell shown. As for the volume: 94.0 Å³ per cell. The calculated density comes out at 4.4 g/cm³. The calculation puts the energy relative to the elements at 0.46 eV per formula unit.

a = 4.547 Å, b = 4.547 Å, c = 4.547 Å
α = 90.00°, β = 90.00°, γ = 90.00°
Fractional coordinates of all 5 atoms:
1 Al 0.000 0.000 0.500
2 Al 0.000 0.500 0.000
3 Al 0.500 0.000 0.000
4 Cd 0.500 0.500 0.500
5 Fe 0.000 0.000 0.000

---

[4]
This record from Alexandria describes a geometry-optimized AlCd2Fe structure. The functional is GGA-PBE.

For the raw total energy, the calculation gives -13.04 eV for the cell shown. As for the volume: 68.0 Å³ per cell. The calculated density comes out at 7.5 g/cm³. The calculation puts the energy relative to the elements at 0.99 eV per formula unit.

a = 5.076 Å, b = 5.076 Å, c = 5.076 Å
α = 133.33°, β = 133.33°, γ = 68.14°
Fractional coordinates of all 4 atoms:
1 Al 0.000 0.000 0.000
2 Cd 0.500 0.500 0.000
3 Cd 0.750 0.250 0.500
4 Fe 0.250 0.750 0.500

---

[5]
This record from Alexandria describes a geometry-optimized AlCd2Fe structure. The functional is GGA-PBE.

For the raw total energy, the calculation gives -12.89 eV for the cell shown. As for the volume: 72.4 Å³ per cell. The calculated density comes out at 7.1 g/cm³. The calculation puts the energy relative to the elements at 1.15 eV per formula unit.

a = 2.895 Å, b = 2.895 Å, c = 8.640 Å
α = 90.00°, β = 90.00°, γ = 90.00°
Fractional coordinates of all 4 atoms:
1 Al 0.000 0.000 0.000
2 Cd 0.500 0.500 0.269
3 Cd 0.500 0.500 0.731
4 Fe 0.000 0.000 0.500

---

[6]
This record from Alexandria describes a geometry-optimized AlCd2Fe structure. The functional is GGA-PBE.

For the raw total energy, the calculation gives -13.41 eV for the cell shown. As for the volume: 71.1 Å³ per cell. The calculated density comes out at 7.2 g/cm³. The calculation puts the energy relative to the elements at 0.62 eV per formula unit.

a = 9.556 Å, b = 9.556 Å, c = 9.556 Å
α = 17.79°, β = 17.79°, γ = 17.79°
Fractional coordinates of all 4 atoms:
1 Al 0.000 0.000 0.000
2 Cd 0.245 0.245 0.245
3 Cd 0.481 0.481 0.481
4 Fe 0.734 0.734 0.734

---

[7]
This record from Alexandria describes a geometry-optimized AlCd2Fe structure. The functional is GGA-PBE.

For the raw total energy, the calculation gives -13.76 eV for the cell shown. As for the volume: 76.1 Å³ per cell. The calculated density comes out at 6.7 g/cm³. The calculation puts the energy relative to the elements at 0.27 eV per formula unit.

a = 7.197 Å, b = 7.197 Å, c = 7.197 Å
α = 157.80°, β = 147.25°, γ = 39.93°
Fractional coordinates of all 4 atoms:
1 Al 0.000 0.000 0.000
2 Cd 0.324 0.824 0.500
3 Cd 0.676 0.176 0.500
4 Fe 0.500 0.500 0.000

---

[8]
This record from Alexandria describes a geometry-optimized AlCd2Fe structure. The functional is GGA-PBE.

For the raw total energy, the calculation gives -12.77 eV for the cell shown. As for the volume: 68.9 Å³ per cell. The calculated density comes out at 7.4 g/cm³. The calculation puts the energy relative to the elements at 1.26 eV per formula unit.

a = 4.601 Å, b = 4.601 Å, c = 4.601 Å
α = 60.00°, β = 60.00°, γ = 60.00°
Fractional coordinates of all 4 atoms:
1 Al 0.000 0.000 0.000
2 Cd 0.500 0.500 0.500
3 Cd 0.750 0.750 0.750
4 Fe 0.250 0.250 0.250

---

[9]
This record from Alexandria describes a geometry-optimized AlCd2Fe structure. The functional is GGA-PBE.

For the raw total energy, the calculation gives -13.27 eV for the cell shown. As for the volume: 69.7 Å³ per cell. The calculated density comes out at 7.3 g/cm³. The calculation puts the energy relative to the elements at 0.76 eV per formula unit.

a = 5.445 Å, b = 5.445 Å, c = 5.151 Å
α = 116.72°, β = 116.72°, γ = 31.04°
Fractional coordinates of all 4 atoms:
1 Al 0.000 0.000 0.000
2 Cd 0.231 0.231 0.612
3 Cd 0.456 0.456 0.448
4 Fe 0.712 0.712 0.062

---

[10]
This record from Alexandria describes a geometry-optimized AlCd2GaFe structure. The functional is GGA-PBE.

For the raw total energy, the calculation gives -13.38 eV for the cell shown. As for the volume: 118.2 Å³ per cell. The calculated density comes out at 5.3 g/cm³. The calculation puts the energy relative to the elements at 3.68 eV per formula unit.

a = 5.020 Å, b = 5.020 Å, c = 4.691 Å
α = 90.00°, β = 90.00°, γ = 90.00°
Fractional coordinates of all 5 atoms:
1 Al 0.000 0.000 0.000
2 Cd 0.000 0.500 0.500
3 Cd 0.500 0.000 0.500
4 Ga 0.500 0.500 0.500
5 Fe 0.500 0.500 0.000

---

[11]
This record from Alexandria describes a geometry-optimized AlCd2FeHg structure. The functional is GGA-PBE.

For the raw total energy, the calculation gives -9.18 eV for the cell shown. As for the volume: 141.5 Å³ per cell. The calculated density comes out at 6.0 g/cm³. The calculation puts the energy relative to the elements at 5.16 eV per formula unit.

a = 5.335 Å, b = 5.335 Å, c = 4.970 Å
α = 90.00°, β = 90.00°, γ = 90.00°
Fractional coordinates of all 5 atoms:
1 Al 0.000 0.000 0.000
2 Cd 0.000 0.500 0.500
3 Cd 0.500 0.000 0.500
4 Fe 0.500 0.500 0.000
5 Hg 0.000 0.000 0.500

---

[12]
This record from Alexandria describes a geometry-optimized LaAl2CdFe structure. The functional is GGA-PBE.

For the raw total energy, the calculation gives -22.84 eV for the cell shown. As for the volume: 105.8 Å³ per cell. The calculated density comes out at 5.7 g/cm³. The calculation puts the energy relative to the elements at -1.05 eV per formula unit.

a = 4.608 Å, b = 4.608 Å, c = 4.981 Å
α = 90.00°, β = 90.00°, γ = 90.00°
Fractional coordinates of all 5 atoms:
1 La 0.000 0.000 0.000
2 Al 0.000 0.500 0.500
3 Al 0.500 0.000 0.500
4 Cd 0.500 0.500 0.000
5 Fe 0.500 0.500 0.500

---

[13]
This record from Alexandria describes a geometry-optimized AlCdFe2Pt structure. The functional is GGA-PBE.

For the raw total energy, the calculation gives -24.52 eV for the cell shown. As for the volume: 89.2 Å³ per cell. The calculated density comes out at 8.3 g/cm³. The calculation puts the energy relative to the elements at 3.10 eV per formula unit.

a = 4.413 Å, b = 4.413 Å, c = 4.580 Å
α = 90.00°, β = 90.00°, γ = 90.00°
Fractional coordinates of all 5 atoms:
1 Al 0.000 0.000 0.000
2 Cd 0.500 0.500 0.500
3 Fe 0.000 0.500 0.000
4 Fe 0.500 0.000 0.000
5 Pt 0.000 0.000 0.500

---

[14]
This record from Alexandria describes a geometry-optimized AlCdFe2Si structure. The functional is GGA-PBE.

For the raw total energy, the calculation gives -20.14 eV for the cell shown. As for the volume: 90.2 Å³ per cell. The calculated density comes out at 5.1 g/cm³.

a = 4.362 Å, b = 4.362 Å, c = 4.737 Å
α = 90.00°, β = 90.00°, γ = 90.00°
Fractional coordinates of all 5 atoms:
1 Al 0.000 0.000 0.000
2 Cd 0.000 0.000 0.500
3 Fe 0.000 0.500 0.000
4 Fe 0.500 0.000 0.000
5 Si 0.500 0.500 0.500

---

[15]
This record from Alexandria describes a geometry-optimized SrAl2CdFe structure. The functional is GGA-PBE.

For the raw total energy, the calculation gives -19.22 eV for the cell shown. As for the volume: 109.3 Å³ per cell. The calculated density comes out at 4.7 g/cm³. The calculation puts the energy relative to the elements at -0.67 eV per formula unit.

a = 4.637 Å, b = 4.637 Å, c = 5.081 Å
α = 90.00°, β = 90.00°, γ = 90.00°
Fractional coordinates of all 5 atoms:
1 Sr 0.000 0.000 0.000
2 Al 0.000 0.500 0.500
3 Al 0.500 0.000 0.500
4 Cd 0.500 0.500 0.000
5 Fe 0.500 0.500 0.500

---

[16]
This record from Alexandria describes a geometry-optimized TiAl2CdFe structure. The functional is GGA-PBE.

Its energy relative to the lowest polymorph listed for this composition is 0 meV per atom. For the raw total energy, the calculation gives -20.62 eV for the cell shown. As for the volume: 107.6 Å³ per cell. The calculated density comes out at 4.2 g/cm³. The calculation puts the energy relative to the elements at 4.13 eV per formula unit.

a = 5.043 Å, b = 5.043 Å, c = 4.230 Å
α = 90.00°, β = 90.00°, γ = 90.00°
Fractional coordinates of all 5 atoms:
1 Ti 0.000 0.000 0.000
2 Al 0.000 0.500 0.000
3 Al 0.500 0.000 0.000
4 Cd 0.500 0.500 0.500
5 Fe 0.000 0.000 0.500

---

[17]
This record from Alexandria describes a geometry-optimized TiAl2CdFe structure. The functional is GGA-PBE.

Its energy relative to the lowest polymorph listed for this composition is 455 meV per atom. For the raw total energy, the calculation gives -18.35 eV for the cell shown. As for the volume: 116.0 Å³ per cell. The calculated density comes out at 3.9 g/cm³. The calculation puts the energy relative to the elements at 6.41 eV per formula unit.

a = 4.760 Å, b = 4.760 Å, c = 5.118 Å
α = 90.00°, β = 90.00°, γ = 90.00°
Fractional coordinates of all 5 atoms:
1 Ti 0.000 0.000 0.000
2 Al 0.000 0.500 0.500
3 Al 0.500 0.000 0.500
4 Cd 0.000 0.000 0.500
5 Fe 0.500 0.500 0.000

---

[18]
This record from Alexandria describes a geometry-optimized AlVCd2Fe structure. The functional is GGA-PBE.

For the raw total energy, the calculation gives -17.86 eV for the cell shown. As for the volume: 111.8 Å³ per cell. The calculated density comes out at 5.3 g/cm³. The calculation puts the energy relative to the elements at 5.29 eV per formula unit.

a = 5.324 Å, b = 5.324 Å, c = 3.942 Å
α = 90.00°, β = 90.00°, γ = 90.00°
Fractional coordinates of all 5 atoms:
1 Al 0.000 0.000 0.000
2 V 0.500 0.500 0.500
3 Cd 0.000 0.500 0.500
4 Cd 0.500 0.000 0.500
5 Fe 0.500 0.500 0.000

---

[19]
This record from Alexandria describes a geometry-optimized AlCdGa structure. The functional is GGA-PBE.

Its energy relative to the lowest polymorph listed for this composition is 23 meV per atom. For the raw total energy, the calculation gives -14.90 eV for the cell shown. As for the volume: 118.2 Å³ per cell. The calculated density comes out at 5.9 g/cm³. The calculation puts the energy relative to the elements at 0.23 eV per formula unit.

a = 2.926 Å, b = 6.453 Å, c = 6.598 Å
α = 73.85°, β = 81.34°, γ = 89.95°
Fractional coordinates of all 6 atoms:
1 Al 0.178 0.340 0.158
2 Al 0.822 0.660 0.842
3 Cd 0.500 0.000 0.500
4 Cd 0.500 0.500 0.500
5 Ga 0.193 0.825 0.140
6 Ga 0.807 0.175 0.860

---

[20]
This record from Alexandria describes a geometry-optimized AlCdGa structure. The functional is GGA-PBE.

Its energy relative to the lowest polymorph listed for this composition is 0 meV per atom. For the raw total energy, the calculation gives -15.04 eV for the cell shown. As for the volume: 117.0 Å³ per cell. The calculated density comes out at 5.9 g/cm³. The calculation puts the energy relative to the elements at 0.16 eV per formula unit.

a = 3.127 Å, b = 3.127 Å, c = 11.963 Å
α = 90.00°, β = 90.00°, γ = 90.00°
Fractional coordinates of all 6 atoms:
1 Al 0.250 0.250 0.072
2 Al 0.750 0.750 0.928
3 Cd 0.250 0.250 0.405
4 Cd 0.750 0.750 0.595
5 Ga 0.250 0.250 0.772
6 Ga 0.750 0.750 0.228